No. 1
Computed, not measured: a geometry-optimized CoBi structure at the PBE-GGA level of DFT.

Output
* DFT total energy: -5.001 eV per atom

Unit cell a=3.3607 b=3.3607 c=3.3607 alpha=90.00 beta=90.00 gamma=90.00
Atoms (fractional coordinates):
Co: 0.0000 0.0000 0.0000
Bi: 0.5000 0.5000 0.5000

No. 2
Computed, not measured: a geometry-optimized NdYBr3 structure at the PBE-GGA level of DFT.

Output
* DFT total energy: -4.775 eV per atom

Unit cell a=9.0757 b=9.0757 c=11.3835 alpha=121.56 beta=121.56 gamma=25.12
Atoms (fractional coordinates):
Nd: 0.1384 0.1384 0.2872
Nd: 0.8616 0.8616 0.7128
Y: 0.4244 0.4244 0.0435
Y: 0.5756 0.5756 0.9565
Br: 0.0405 0.0405 0.7462
Br: 0.2175 0.2175 0.1159
Br: 0.3395 0.3395 0.4905
Br: 0.6605 0.6605 0.5095
Br: 0.7825 0.7825 0.8841
Br: 0.9595 0.9595 0.2538

No. 3
Computed, not measured: a geometry-optimized NaNbTe structure at the PBE-GGA level of DFT.

Output
* relative energy among the computed polymorphs: 0 meV/atom

Unit cell a=4.7234 b=4.7234 c=4.7234 alpha=60.00 beta=60.00 gamma=60.00
Atoms (fractional coordinates):
Na: 0.0000 0.0000 0.0000
Nb: 0.5000 0.5000 0.5000
Te: 0.2500 0.2500 0.2500

No. 4
Computed, not measured: a geometry-optimized KCuTe2IrSe structure at the PBE-GGA level of DFT.

Output
* DFT total energy: -4.215 eV per atom

Unit cell a=8.0180 b=8.0180 c=10.1380 alpha=90.00 beta=90.00 gamma=151.26
Atoms (fractional coordinates):
K: 0.2476 0.7524 0.7500
K: 0.7524 0.2476 0.2500
Cu: 0.0302 0.9698 0.2500
Cu: 0.9698 0.0302 0.7500
Te: 0.1146 0.8854 0.0340
Te: 0.1146 0.8854 0.4660
Te: 0.8854 0.1146 0.5340
Te: 0.8854 0.1146 0.9660
Ir: 0.5000 0.5000 0.0000
Ir: 0.5000 0.5000 0.5000
Se: 0.4397 0.5603 0.2500
Se: 0.5603 0.4397 0.7500

M_tot (μB/cell)
0.005 0.004 1.569 0.005